[1]
The following is a DFT calculation (GGA-PBEsol) of crystalline Al4Ni12C at its relaxed geometry.

abc: 3.628 3.628 13.808
angles: 90.00 90.00 90.00
Sites, in units of the cell vectors:
1 Al 0.000 0.000 0.120
2 Al 0.000 0.000 0.360
3 Al 0.000 0.000 0.640
4 Al 0.000 0.000 0.880
5 Ni 0.000 0.500 0.000
6 Ni 0.000 0.500 0.243
7 Ni 0.000 0.500 0.500
8 Ni 0.000 0.500 0.757
9 Ni 0.500 0.000 0.000
10 Ni 0.500 0.000 0.243
11 Ni 0.500 0.000 0.500
12 Ni 0.500 0.000 0.757
13 Ni 0.500 0.500 0.123
14 Ni 0.500 0.500 0.367
15 Ni 0.500 0.500 0.633
16 Ni 0.500 0.500 0.877
17 C 0.500 0.500 0.500

* N(E_F): 14.13 states/eV/f.u.
* M_tot: 0.04 μB/f.u.
* SG: P4/mmm (123)
* DFT formation energy: -0.394 eV/atom

---

[2]
The following is a DFT calculation (GGA-PBEsol) of crystalline AlNiOs2C at its relaxed geometry.

abc: 4.383 4.383 4.146
angles: 90.00 90.00 90.00
Sites, in units of the cell vectors:
1 Al 0.000 0.000 0.000
2 Ni 0.000 0.000 0.500
3 Os 0.000 0.500 0.500
4 Os 0.500 0.000 0.500
5 C 0.500 0.500 0.000

* N(E_F): 6.80 states/eV/f.u.
* M_tot: 1.54 μB/f.u.
* SG: P4/mmm (123)
* DFT formation energy: 2.558 eV/atom

---

[3]
The following is a DFT calculation (GGA-PBEsol) of crystalline Ti3Al2NiC at its relaxed geometry.

abc: 8.024 8.024 8.024
angles: 60.00 60.00 60.00
Sites, in units of the cell vectors:
1 Ti 0.065 0.065 0.685
2 Ti 0.065 0.685 0.065
3 Ti 0.065 0.685 0.685
4 Ti 0.315 0.315 0.935
5 Ti 0.315 0.935 0.315
6 Ti 0.315 0.935 0.935
7 Ti 0.685 0.065 0.065
8 Ti 0.685 0.065 0.685
9 Ti 0.685 0.685 0.065
10 Ti 0.935 0.315 0.315
11 Ti 0.935 0.315 0.935
12 Ti 0.935 0.935 0.315
13 Al 0.292 0.292 0.292
14 Al 0.292 0.292 0.624
15 Al 0.292 0.624 0.292
16 Al 0.376 0.708 0.708
17 Al 0.624 0.292 0.292
18 Al 0.708 0.376 0.708
19 Al 0.708 0.708 0.376
20 Al 0.708 0.708 0.708
21 Ni 0.000 0.500 0.500
22 Ni 0.500 0.000 0.500
23 Ni 0.500 0.500 0.000
24 Ni 0.500 0.500 0.500
25 C 0.000 0.000 0.000
26 C 0.000 0.000 0.500
27 C 0.000 0.500 0.000
28 C 0.500 0.000 0.000

* N(E_F): 6.39 states/eV/f.u.
* M_tot: 0.00 μB/f.u.
* SG: Fd-3m (227)
* DFT formation energy: -0.706 eV/atom

---

[4]
The following is a DFT calculation (GGA-PBEsol) of crystalline Al2CO at its relaxed geometry.

abc: 5.617 6.270 5.076
angles: 90.00 90.00 90.00
Sites, in units of the cell vectors:
1 Al 0.076 0.133 0.000
2 Al 0.082 0.618 0.003
3 Al 0.418 0.118 0.503
4 Al 0.424 0.633 0.500
5 Al 0.576 0.367 0.000
6 Al 0.582 0.882 0.003
7 Al 0.918 0.382 0.503
8 Al 0.924 0.867 0.500
9 C 0.102 0.623 0.384
10 C 0.398 0.123 0.884
11 C 0.602 0.877 0.384
12 C 0.898 0.377 0.884
13 O 0.080 0.124 0.382
14 O 0.420 0.624 0.882
15 O 0.580 0.376 0.382
16 O 0.920 0.876 0.882

* N(E_F): 0.00 states/eV/f.u.
* M_tot: 0.00 μB/f.u.
* SG: Pna2_1 (33)
* raw formation energy: -1.26 eV per atom

---

[5]
The following is a DFT calculation (GGA-PBEsol) of crystalline Al2CO at its relaxed geometry.

abc: 5.561 5.561 5.561
angles: 133.19 133.19 68.36
Sites, in units of the cell vectors:
1 Al 0.116 0.625 0.991
2 Al 0.375 0.366 0.491
3 Al 0.634 0.125 0.009
4 Al 0.875 0.884 0.509
5 C 0.000 0.000 0.000
6 C 0.750 0.250 0.500
7 O 0.250 0.750 0.500
8 O 0.500 0.500 0.000

* N(E_F): 0.00 states/eV/f.u.
* M_tot: 0.00 μB/f.u.
* SG: I-42d (122)
* raw formation energy: -1.24 eV per atom

---

[6]
The following is a DFT calculation (GGA-PBEsol) of crystalline Al4CO4 at its relaxed geometry.

abc: 5.151 5.151 9.132
angles: 90.00 90.00 111.98
Sites, in units of the cell vectors:
1 Al 0.062 0.938 0.500
2 Al 0.107 0.435 0.710
3 Al 0.398 0.602 0.421
4 Al 0.435 0.107 0.210
5 Al 0.565 0.893 0.710
6 Al 0.602 0.398 0.921
7 Al 0.893 0.565 0.210
8 Al 0.938 0.062 0.000
9 C 0.195 0.805 0.325
10 C 0.805 0.195 0.825
11 O 0.179 0.310 0.534
12 O 0.195 0.805 0.655
13 O 0.310 0.179 0.034
14 O 0.442 0.558 0.800
15 O 0.558 0.442 0.300
16 O 0.690 0.821 0.534
17 O 0.805 0.195 0.155
18 O 0.821 0.690 0.034

* N(E_F): 0.00 states/eV/f.u.
* M_tot: 0.00 μB/f.u.
* SG: Cmc2_1 (36)
* raw formation energy: -2.28 eV per atom

---

[7]
The following is a DFT calculation (GGA-PBEsol) of crystalline AlSbCO2 at its relaxed geometry.

abc: 4.018 4.018 3.786
angles: 90.00 90.00 90.00
Sites, in units of the cell vectors:
1 Al 0.000 0.000 0.000
2 Sb 0.500 0.500 0.000
3 C 0.000 0.000 0.500
4 O 0.000 0.500 0.500
5 O 0.500 0.000 0.500

* N(E_F): 2.41 states/eV/f.u.
* M_tot: 0.00 μB/f.u.
* SG: P4/mmm (123)
* raw formation energy: 0.64 eV per atom

---

[8]
The following is a DFT calculation (GGA-PBEsol) of crystalline AlP3C at its relaxed geometry.

abc: 4.014 4.014 4.014
angles: 90.00 90.00 90.00
Sites, in units of the cell vectors:
1 Al 0.000 0.000 0.000
2 P 0.000 0.500 0.500
3 P 0.500 0.000 0.500
4 P 0.500 0.500 0.000
5 C 0.500 0.500 0.500

* N(E_F): 3.97 states/eV/f.u.
* M_tot: 0.00 μB/f.u.
* SG: Pm-3m (221)
* DFT formation energy: 0.901 eV/atom

---

[9]
The following is a DFT calculation (GGA-PBEsol) of crystalline Al3PdC at its relaxed geometry.

abc: 3.999 3.999 3.999
angles: 90.00 90.00 90.00
Sites, in units of the cell vectors:
1 Al 0.000 0.000 0.500
2 Al 0.000 0.500 0.000
3 Al 0.500 0.000 0.000
4 Pd 0.500 0.500 0.500
5 C 0.000 0.000 0.000

* N(E_F): 1.30 states/eV/f.u.
* M_tot: 0.00 μB/f.u.
* SG: Pm-3m (221)
* DFT formation energy: -0.057 eV/atom

---

[10]
The following is a DFT calculation (GGA-PBEsol) of crystalline AlSnPd2C at its relaxed geometry.

abc: 4.892 4.892 4.980
angles: 90.00 90.00 90.00
Sites, in units of the cell vectors:
1 Al 0.000 0.000 0.000
2 Sn 0.000 0.000 0.500
3 Pd 0.000 0.500 0.500
4 Pd 0.500 0.000 0.500
5 C 0.500 0.500 0.000

* N(E_F): 2.02 states/eV/f.u.
* M_tot: 1.16 μB/f.u.
* SG: P4/mmm (123)
* DFT formation energy: 2.051 eV/atom

---

[11]
The following is a DFT calculation (GGA-PBEsol) of crystalline Al3PtC at its relaxed geometry.

abc: 4.694 4.694 4.694
angles: 90.00 90.00 90.00
Sites, in units of the cell vectors:
1 Al 0.000 0.000 0.500
2 Al 0.000 0.500 0.000
3 Al 0.500 0.000 0.000
4 Pt 0.000 0.000 0.000
5 C 0.500 0.500 0.500

* N(E_F): 2.72 states/eV/f.u.
* M_tot: 2.28 μB/f.u.
* SG: Pm-3m (221)
* DFT formation energy: 1.010 eV/atom

---

[12]
The following is a DFT calculation (GGA-PBEsol) of crystalline RbAlC3 at its relaxed geometry.

abc: 4.129 4.129 4.129
angles: 90.00 90.00 90.00
Sites, in units of the cell vectors:
1 Rb 0.000 0.000 0.000
2 Al 0.500 0.500 0.500
3 C 0.000 0.500 0.500
4 C 0.500 0.000 0.500
5 C 0.500 0.500 0.000

* N(E_F): 3.15 states/eV/f.u.
* M_tot: 0.00 μB/f.u.
* SG: Pm-3m (221)
* DFT formation energy: 2.254 eV/atom

---

[13]
The following is a DFT calculation (GGA-PBEsol) of crystalline Rb2AlC at its relaxed geometry.

abc: 9.266 9.266 9.266
angles: 92.33 92.33 156.73
Sites, in units of the cell vectors:
1 Rb 0.375 0.166 0.291
2 Rb 0.834 0.125 0.209
3 Rb 0.875 0.084 0.709
4 Rb 0.916 0.625 0.791
5 Al 0.250 0.750 0.500
6 Al 0.500 0.500 0.000
7 C 0.000 0.000 0.000
8 C 0.750 0.250 0.500

* N(E_F): 1.94 states/eV/f.u.
* M_tot: 0.04 μB/f.u.
* SG: I-42d (122)
* DFT formation energy: 0.608 eV/atom

---

[14]
The following is a DFT calculation (GGA-PBEsol) of crystalline Rb3AlC at its relaxed geometry.

abc: 5.963 5.963 5.963
angles: 90.00 90.00 90.00
Sites, in units of the cell vectors:
1 Rb 0.000 0.000 0.500
2 Rb 0.000 0.500 0.000
3 Rb 0.500 0.000 0.000
4 Al 0.500 0.500 0.500
5 C 0.000 0.000 0.000

* N(E_F): 3.86 states/eV/f.u.
* M_tot: 2.32 μB/f.u.
* SG: Pm-3m (221)
* DFT formation energy: 1.231 eV/atom

---

[15]
The following is a DFT calculation (GGA-PBEsol) of crystalline RbAlTe2C at its relaxed geometry.

abc: 5.190 5.190 7.269
angles: 90.00 90.00 90.00
Sites, in units of the cell vectors:
1 Rb 0.000 0.000 0.000
2 Al 0.000 0.000 0.500
3 Te 0.000 0.500 0.500
4 Te 0.500 0.000 0.500
5 C 0.500 0.500 0.000

* N(E_F): 5.30 states/eV/f.u.
* M_tot: 2.59 μB/f.u.
* SG: P4/mmm (123)
* raw formation energy: 1.33 eV per atom

---

[16]
The following is a DFT calculation (GGA-PBEsol) of crystalline SrAlRu2C at its relaxed geometry.

abc: 4.232 4.232 4.166
angles: 90.00 90.00 90.00
Sites, in units of the cell vectors:
1 Sr 0.000 0.000 0.000
2 Al 0.500 0.500 0.000
3 Ru 0.000 0.500 0.500
4 Ru 0.500 0.000 0.500
5 C 0.500 0.500 0.500

* N(E_F): 3.40 states/eV/f.u.
* M_tot: 0.00 μB/f.u.
* SG: P4/mmm (123)
* DFT formation energy: 0.377 eV/atom

---

[17]
The following is a DFT calculation (GGA-PBEsol) of crystalline Al2CS at its relaxed geometry.

abc: 5.998 5.998 5.998
angles: 130.63 130.63 72.41
Sites, in units of the cell vectors:
1 Al 0.052 0.625 0.927
2 Al 0.375 0.302 0.427
3 Al 0.698 0.125 0.073
4 Al 0.875 0.948 0.573
5 C 0.000 0.000 0.000
6 C 0.750 0.250 0.500
7 S 0.250 0.750 0.500
8 S 0.500 0.500 0.000

* N(E_F): 0.00 states/eV/f.u.
* M_tot: 0.00 μB/f.u.
* SG: I-42d (122)
* raw formation energy: -0.56 eV per atom

---

[18]
The following is a DFT calculation (GGA-PBEsol) of crystalline AlSbTe2C at its relaxed geometry.

abc: 5.206 5.206 5.170
angles: 90.00 90.00 90.00
Sites, in units of the cell vectors:
1 Al 0.000 0.000 0.000
2 Sb 0.000 0.000 0.500
3 Te 0.000 0.500 0.000
4 Te 0.500 0.000 0.000
5 C 0.500 0.500 0.500

* N(E_F): 5.13 states/eV/f.u.
* M_tot: 1.45 μB/f.u.
* SG: P4/mmm (123)
* raw formation energy: 1.76 eV per atom

---

[19]
The following is a DFT calculation (GGA-PBEsol) of crystalline Sc2AlC at its relaxed geometry.

abc: 5.672 5.672 5.672
angles: 107.75 107.75 112.97
Sites, in units of the cell vectors:
1 Sc 0.047 0.625 0.922
2 Sc 0.375 0.297 0.422
3 Sc 0.703 0.125 0.078
4 Sc 0.875 0.953 0.578
5 Al 0.250 0.750 0.500
6 Al 0.500 0.500 0.000
7 C 0.000 0.000 0.000
8 C 0.750 0.250 0.500

* N(E_F): 1.95 states/eV/f.u.
* M_tot: 0.00 μB/f.u.
* SG: I-42d (122)
* ΔE to the lowest computed polymorph: 445 meV per atom
* DFT formation energy: -0.012 eV/atom

---

[20]
The following is a DFT calculation (GGA-PBEsol) of crystalline ScAl3C3 at its relaxed geometry.

abc: 3.345 3.345 16.642
angles: 90.00 90.00 120.00
Sites, in units of the cell vectors:
1 Sc 0.000 0.000 0.000
2 Sc 0.000 0.000 0.500
3 Al 0.333 0.667 0.129
4 Al 0.333 0.667 0.371
5 Al 0.333 0.667 0.750
6 Al 0.667 0.333 0.250
7 Al 0.667 0.333 0.629
8 Al 0.667 0.333 0.871
9 C 0.333 0.667 0.250
10 C 0.333 0.667 0.586
11 C 0.333 0.667 0.914
12 C 0.667 0.333 0.086
13 C 0.667 0.333 0.414
14 C 0.667 0.333 0.750

* N(E_F): 0.10 states/eV/f.u.
* M_tot: 0.00 μB/f.u.
* SG: P6_3/mmc (194)
* DFT formation energy: -0.374 eV/atom